A geometry-optimized TbMgScAg structure, computed with GGA-PBE.

a b c (Å): 3.642 3.642 7.109
angles (deg): 90.00 90.00 90.00
Fractional positions:
Tb 0.000 0.000 0.000
Mg 0.500 0.500 0.719
Sc 0.000 0.000 0.482
Ag 0.500 0.500 0.263

Electronic total energy (eV per cell): -16.05